# NdDy2Tl2

A geometry-optimized NdDy2Tl2 structure (PBE, the Alexandria database).

Cell lengths 3.8011, 5.4668, 14.2478 Å; angles 90.00, 97.69, 90.00 degrees
Fractional positions:
Nd 0.8531 0.7500 0.7032
Nd 0.1469 0.2500 0.2968
Dy 0.0497 0.7500 0.0996
Dy 0.9503 0.2500 0.9004
Dy 0.2366 0.7500 0.4736
Dy 0.7634 0.2500 0.5264
Tl 0.6435 0.7500 0.2884
Tl 0.3565 0.2500 0.7116
Tl 0.4528 0.7500 0.9070
Tl 0.5472 0.2500 0.0930

## Properties
DFT total energy (eV per atom): -4.03
Space-group type: P2_1/m (11)
ΔE_f (meV per atom): -284.3
Magnetic moment (μB/f.u.): 0.000
Energy relative to the lowest polymorph listed for this composition (eV per atom): 0.000

=====

# RbPr2Au2O6

A geometry-optimized RbPr2Au2O6 structure (PBE, the Alexandria database).

Cell lengths 6.4901, 7.4582, 7.1709 Å; angles 123.56, 101.44, 53.27 degrees
Site moments in Bohr magnetons follow the coordinates.
Fractional positions:
Rb 0.5000 0.0000 0.5000  0.00
Pr 0.8176 0.3375 0.8160  0.00
Pr 0.1824 0.6625 0.1840  0.00
Au 0.0859 0.6346 0.6787  0.12
Au 0.9141 0.3654 0.3213  0.12
O 0.3582 0.6483 0.8909  0.17
O 0.9355 0.5220 0.1751  0.02
O 0.0536 0.8586 0.5863  0.07
O 0.0645 0.4780 0.8249  0.02
O 0.9464 0.1414 0.4137  0.07
O 0.6418 0.3517 0.1091  0.17

## Properties
DFT total energy (eV per atom): -5.84
Space-group type: P-1 (2)
Magnetic moment (μB/f.u.): 0.922
Formation energy (no corrections) (eV per atom): -1.579

=====

# Pm4ThS7

A geometry-optimized Pm4ThS7 structure (PBE, the Alexandria database).

Cell lengths 3.9380, 6.9490, 11.8542 Å; angles 104.16, 90.00, 106.46 degrees
Fractional positions:
Pm 0.7027 0.4055 0.8188
Pm 0.2987 0.5973 0.1838
Pm 0.9988 0.9977 0.0005
Pm 0.1114 0.2229 0.4197
Th 0.8869 0.7738 0.5778
S 0.7431 0.4861 0.3522
S 0.2602 0.5204 0.6499
S 0.3415 0.6829 0.9492
S 0.6582 0.3164 0.0504
S 0.0434 0.0867 0.7826
S 0.9550 0.9101 0.2155
S 0.5001 0.0002 0.4995

## Properties
DFT total energy (eV per atom): -6.62
Space-group type: Cm (8)
Magnetic moment (μB/f.u.): 0.000
Formation energy (no corrections) (eV per atom): -2.010

=====

# AgOs2Rh2

A geometry-optimized AgOs2Rh2 structure (PBE, the Alexandria database).

Cell lengths 7.6576, 7.6576, 2.6819 Å; angles 90.00, 90.00, 90.00 degrees
Fractional positions:
Rh 0.3781 0.8781 0.0000
Rh 0.8781 0.6219 0.0000
Rh 0.6219 0.1219 0.0000
Rh 0.1219 0.3781 0.0000
Os 0.1728 0.6728 0.5000
Os 0.6728 0.8272 0.5000
Os 0.8272 0.3272 0.5000
Os 0.3272 0.1728 0.5000
Ag 0.0000 0.0000 0.0000
Ag 0.5000 0.5000 0.0000

## Properties
DFT total energy (eV per atom): -7.52
Space-group type: P4/mbm (127)
ΔE_f (meV per atom): 478.8
Magnetic moment (μB/f.u.): 0.000
Energy relative to the lowest polymorph listed for this composition (eV per atom): 0.082

=====

# NaAc2TaO6

A geometry-optimized NaAc2TaO6 structure (PBE, the Alexandria database).

Cell lengths 5.2324, 5.6157, 5.6157 Å; angles 90.00, 90.00, 90.00 degrees
Site moments in Bohr magnetons follow the coordinates.
Fractional positions:
Na 0.5703 0.5000 0.5000  0.00
Ac 0.0118 0.5000 0.0000  0.00
Ac 0.0118 0.0000 0.5000  0.00
Ta 0.5936 0.0000 0.0000  0.00
O 0.7238 0.2294 0.2294  0.00
O 0.7238 0.2294 0.7706  0.00
O 0.1363 0.5000 0.5000  0.06
O 0.2278 0.0000 0.0000  0.00
O 0.7238 0.7706 0.7706  0.00
O 0.7238 0.7706 0.2294  0.00

## Properties
DFT total energy (eV per atom): -8.01
Space-group type: P4mm (99)
Magnetic moment (μB/f.u.): 0.079
Formation energy (no corrections) (eV per atom): -2.897

=====

# AcPr3Y

A geometry-optimized AcPr3Y structure (PBE, the Alexandria database).

Cell lengths 3.6640, 12.0541, 9.1834 Å; angles 112.43, 90.00, 90.00 degrees
Fractional positions:
Ac 0.2500 0.7395 0.9664
Ac 0.7500 0.2605 0.0336
Pr 0.2500 0.9666 0.8029
Pr 0.7500 0.0334 0.1971
Pr 0.2500 0.5463 0.1973
Pr 0.7500 0.4537 0.8027
Pr 0.2500 0.3343 0.4240
Pr 0.7500 0.6657 0.5760
Y 0.2500 0.8666 0.4003
Y 0.7500 0.1334 0.5997

## Properties
DFT total energy (eV per atom): -4.88
Space-group type: P2_1/m (11)
ΔE_f (meV per atom): 102.2
Magnetic moment (μB/f.u.): 0.000
Energy relative to the lowest polymorph listed for this composition (eV per atom): 0.000

=====

# LaPrAlTl

A geometry-optimized LaPrAlTl structure (PBE, the Alexandria database).

Cell lengths 5.4890, 5.4890, 5.4890 Å; angles 60.00, 60.00, 60.00 degrees
Fractional positions:
Pr 0.2500 0.2500 0.2500
Tl 0.0000 0.0000 0.0000
Al 0.5000 0.5000 0.5000
La 0.7500 0.7500 0.7500

## Properties
DFT total energy (eV per atom): -4.31
Space-group type: F-43m (216)
ΔE_f (meV per atom): -351.4
Magnetic moment (μB/f.u.): 0.000

=====

# Mg2ScIrS

A geometry-optimized Mg2ScIrS structure (PBE, the Alexandria database).

Cell lengths 5.5964, 4.5373, 5.5964 Å; angles 90.00, 90.00, 90.00 degrees
Fractional positions:
Sc 0.0000 0.0000 0.0000
S 0.5000 0.5000 0.5000
Ir 0.0000 0.5000 0.0000
Mg 0.0000 0.0000 0.5000
Mg 0.5000 0.0000 0.0000

## Properties
DFT total energy (eV per atom): -3.51
Space-group type: P4/mmm (123)
Magnetic moment (μB/f.u.): 0.000
Formation energy (no corrections) (eV per atom): 0.993